Ba4Au2O after structural relaxation. Source: Alexandria via LeMat-Bulk, functional PBE.

E_form (uncorrected), eV/atom: -1.113
Excess energy over the best structure of this formula in the dataset, eV per formula unit: 0.00
Magnetic moment, μB/f.u.: 0.000
Total energy, eV per atom: -3.8567

Structure (CIF):
```
data_Ba4Au2O
_cell_length_a 7.754
_cell_length_b 8.040
_cell_length_c 9.136
_cell_angle_alpha 90.00
_cell_angle_beta 106.84
_cell_angle_gamma 90.00
_space_group_name_H-M_alt 'P 1'
_space_group_IT_number 1
loop_
_space_group_symop_operation_xyz
'x,y,z'
loop_
_atom_site_label
_atom_site_fract_x
_atom_site_fract_y
_atom_site_fract_z
Ba1 0.021 0.012 0.251
Ba2 0.021 0.488 0.251
Ba3 0.424 0.250 0.585
Ba4 0.443 0.250 0.132
Ba5 0.557 0.750 0.868
Ba6 0.576 0.750 0.415
Ba7 0.979 0.512 0.749
Ba8 0.979 0.988 0.749
Au1 0.212 0.750 0.548
Au2 0.234 0.750 0.062
Au3 0.766 0.250 0.938
Au4 0.788 0.250 0.452
O1 0.244 0.250 0.308
O2 0.756 0.750 0.692
```